[1]
A relaxed structure of MnW2Se. Source: Alexandria via LeMat-Bulk, functional PBE.

Unit cell a=3.0967 b=3.0967 c=6.2427 alpha=90.00 beta=90.00 gamma=90.00
Element x y z (fractional)
1 Mn 0.0000 0.0000 0.0000
2 W 0.0000 0.0000 0.5166
3 W 0.5000 0.5000 0.7990
4 Se 0.5000 0.5000 0.2694

Summary:
SG: P4mm (99)
ΔE_f (raw): 0.290 eV per atom

[2]
A relaxed structure of KLaP2. Source: Alexandria via LeMat-Bulk, functional PBE.

Unit cell a=6.5986 b=6.5986 c=6.5986 alpha=103.19 beta=103.19 gamma=122.94
Element x y z (fractional)
1 K 0.0000 0.0000 0.0000
2 K 0.7500 0.2500 0.5000
3 La 0.2500 0.7500 0.5000
4 La 0.5000 0.5000 0.0000
5 P 0.1416 0.6250 0.0166
6 P 0.3750 0.3916 0.5166
7 P 0.6084 0.1250 0.9834
8 P 0.8750 0.8584 0.4834

Summary:
E above lowest polymorph: 510 meV/atom
calculated formation energy: -0.36 eV/atom
SG: I-42d (122)

[3]
A relaxed structure of LiMnAlRu. Source: Alexandria via LeMat-Bulk, functional PBE.

Unit cell a=4.1067 b=4.1067 c=4.1067 alpha=60.00 beta=60.00 gamma=60.00
Element x y z (fractional)
1 Li 0.0000 0.0000 0.0000
2 Mn 0.5000 0.5000 0.5000
3 Al 0.7500 0.7500 0.7500
4 Ru 0.2500 0.2500 0.2500

Summary:
calculated formation energy: -0.16 eV/atom
SG: F-43m (216)

[4]
A relaxed structure of FeBrN3. Source: Alexandria via LeMat-Bulk, functional PBE.

Unit cell a=3.7720 b=3.7720 c=3.7720 alpha=90.00 beta=90.00 gamma=90.00
Element x y z (fractional)
1 Fe 0.0000 0.0000 0.0000
2 Br 0.5000 0.5000 0.5000
3 N 0.0000 0.5000 0.5000
4 N 0.5000 0.0000 0.5000
5 N 0.5000 0.5000 0.0000

Summary:
SG: Pm-3m (221)
ΔE_f (raw): 3.048 eV per atom

[5]
A relaxed structure of BaV3Ir. Source: Alexandria via LeMat-Bulk, functional PBE.

Unit cell a=4.9040 b=4.9040 c=4.9040 alpha=90.00 beta=90.00 gamma=90.00
Element x y z (fractional)
1 Ba 0.0000 0.0000 0.0000
2 V 0.0000 0.5000 0.5000
3 V 0.5000 0.0000 0.5000
4 V 0.5000 0.5000 0.0000
5 Ir 0.5000 0.5000 0.5000

Summary:
E above lowest polymorph: 0 meV/atom
calculated formation energy: 0.66 eV/atom
SG: Pm-3m (221)

[6]
A relaxed structure of SrTeN2F. Source: Alexandria via LeMat-Bulk, functional PBE.

Unit cell a=5.0565 b=5.0565 c=4.4746 alpha=90.00 beta=90.00 gamma=90.00
Element x y z (fractional)
1 Sr 0.0000 0.0000 0.0000
2 Te 0.5000 0.5000 0.5000
3 N 0.0000 0.5000 0.0000
4 N 0.5000 0.0000 0.0000
5 F 0.0000 0.0000 0.5000

Summary:
E above lowest polymorph: 1009 meV/atom
SG: P4/mmm (123)
ΔE_f (raw): 0.647 eV per atom

[7]
A relaxed structure of Zr7Sn2C2. Source: Alexandria via LeMat-Bulk, functional PBE.

Unit cell a=6.3063 b=6.3063 c=7.2925 alpha=94.88 beta=94.88 gamma=112.33
Element x y z (fractional)
1 Zr 0.0000 0.0000 0.0000
2 Zr 0.0843 0.4958 0.8191
3 Zr 0.4082 0.4082 0.1901
4 Zr 0.4958 0.0843 0.8191
5 Zr 0.5042 0.9157 0.1809
6 Zr 0.5918 0.5918 0.8099
7 Zr 0.9157 0.5042 0.1809
8 Sn 0.2972 0.7028 0.5000
9 Sn 0.7028 0.2972 0.5000
10 C 0.2887 0.2887 0.8834
11 C 0.7113 0.7113 0.1166

Summary:
calculated formation energy: -0.04 eV/atom
SG: C2/m (12)

[8]
A relaxed structure of Nd3Mg2Zn9. Source: Alexandria via LeMat-Bulk, functional PBE.

Unit cell a=8.5110 b=8.5110 c=8.5110 alpha=149.03 beta=116.66 gamma=72.17
Element x y z (fractional)
1 Nd 0.0000 0.0000 0.0000
2 Nd 0.2891 0.2891 0.0000
3 Nd 0.7109 0.7109 0.0000
4 Mg 0.3150 0.5000 0.8150
5 Mg 0.6850 0.5000 0.1850
6 Zn 0.0211 0.6620 0.3591
7 Zn 0.1417 0.8601 0.2816
8 Zn 0.3029 0.6620 0.6409
9 Zn 0.4215 0.1399 0.2816
10 Zn 0.5000 0.0000 0.5000
11 Zn 0.5785 0.8601 0.7184
12 Zn 0.6971 0.3380 0.3591
13 Zn 0.8583 0.1399 0.7184
14 Zn 0.9789 0.3380 0.6409

Summary:
calculated formation energy: -0.32 eV/atom
SG: Immm (71)

[9]
A relaxed structure of NiAsPb. Source: Alexandria via LeMat-Bulk, functional PBE.

Unit cell a=6.5657 b=6.5657 c=6.5657 alpha=152.33 beta=152.33 gamma=39.53
Element x y z (fractional)
1 Ni 0.0000 0.0000 0.0000
2 As 0.4132 0.4132 0.0000
3 Pb 0.6734 0.6734 0.0000

Summary:
calculated formation energy: 0.01 eV/atom
SG: I4mm (107)

[10]
A relaxed structure of Na3Np3GeN8. Source: Alexandria via LeMat-Bulk, functional PBE.

Unit cell a=6.8599 b=6.8599 c=6.8599 alpha=59.92 beta=59.92 gamma=59.92
Element x y z (fractional)
1 Na 0.0000 0.5000 0.5000
2 Na 0.5000 0.0000 0.5000
3 Na 0.5000 0.5000 0.0000
4 Np 0.0000 0.0000 0.5000
5 Np 0.0000 0.5000 0.0000
6 Np 0.5000 0.0000 0.0000
7 Ge 0.5000 0.5000 0.5000
8 N 0.1948 0.7381 0.7381
9 N 0.2315 0.2315 0.2315
10 N 0.2619 0.2619 0.8052
11 N 0.2619 0.8052 0.2619
12 N 0.7381 0.1948 0.7381
13 N 0.7381 0.7381 0.1948
14 N 0.7685 0.7685 0.7685
15 N 0.8052 0.2619 0.2619

Summary:
SG: R-3m (166)
ΔE_f (raw): -0.497 eV per atom

[11]
A relaxed structure of Ac2PuCuSe5. Source: Alexandria via LeMat-Bulk, functional PBE.

Unit cell a=9.1140 b=9.1140 c=12.8351 alpha=90.00 beta=90.00 gamma=153.06
Element x y z (fractional)
1 Ac 0.1168 0.8832 0.5000
2 Ac 0.1185 0.8815 0.8541
3 Ac 0.8815 0.1185 0.3541
4 Ac 0.8832 0.1168 0.0000
5 Pu 0.1811 0.8189 0.1810
6 Pu 0.8189 0.1811 0.6810
7 Cu 0.4462 0.5538 0.5806
8 Cu 0.5538 0.4462 0.0806
9 Se 0.0211 0.9789 0.1694
10 Se 0.3032 0.6968 0.8383
11 Se 0.3099 0.6901 0.5234
12 Se 0.3454 0.6546 0.1761
13 Se 0.4958 0.5042 0.9083
14 Se 0.5042 0.4958 0.4083
15 Se 0.6546 0.3454 0.6761
16 Se 0.6901 0.3099 0.0234
17 Se 0.6968 0.3032 0.3383
18 Se 0.9789 0.0211 0.6694

Summary:
SG: Cmc2_1 (36)
ΔE_f (raw): -1.567 eV per atom

[12]
A relaxed structure of Pm3AgPd2. Source: Alexandria via LeMat-Bulk, functional PBE.

Unit cell a=8.0868 b=8.0868 c=4.6465 alpha=90.00 beta=90.00 gamma=151.80
Element x y z (fractional)
1 Pm 0.0000 0.0000 0.0000
2 Pm 0.1620 0.8380 0.5000
3 Pm 0.8380 0.1620 0.5000
4 Ag 0.5000 0.5000 0.5000
5 Pd 0.3234 0.6766 0.0000
6 Pd 0.6766 0.3234 0.0000

Summary:
E above lowest polymorph: 143 meV/atom
calculated formation energy: -0.46 eV/atom
SG: Cmmm (65)

| no. | energy (eV per atom) | spin magnetization (μB per cell) |
| --- | --- | --- |
| 1 | -9.35 | 0.001 |
| 2 | -4.57 | 0.000 |
| 3 | -6.18 | 0.000 |
| 4 | -3.97 | 0.000 |
| 5 | -6.96 | 6.756 |
| 6 | -4.02 | 2.914 |
| 7 | -7.89 | 0.000 |
| 8 | -2.38 | 0.000 |
| 9 | -4.70 | 0.000 |
| 10 | -8.10 | 1.994 |
| 11 | -6.46 | 9.957 |
| 12 | -5.04 | 0.000 |